[1]
Compound: KMg2TaW
Source: the Alexandria database
Functional: PBE
Structure: relaxed

ΔE_f in eV/f.u.: 12.69
Space-group type: P4/mmm

a = 4.5613 Å, b = 4.9758 Å, c = 4.5613 Å
α = 90.00°, β = 90.00°, γ = 90.00°
Closest atoms and distances in Å follow each position.
Fractional coordinates of all 5 atoms:
K1 0.0000 0.0000 0.0000  4 Mg 2.28, 2 Ta 2.49
Mg1 0.0000 0.0000 0.5000  2 K 2.28
Mg2 0.5000 0.0000 0.0000  2 K 2.28
W1 0.5000 0.5000 0.5000  4 Ta 3.23, 8 Mg 3.38
Ta1 0.0000 0.5000 0.0000  2 K 2.49

---

[2]
Compound: KTbMg4
Source: the Alexandria database
Functional: PBE
Structure: relaxed

ΔE_f in eV/f.u.: 0.79
Space-group type: F-43m

a = 6.2663 Å, b = 6.2663 Å, c = 6.2663 Å
α = 60.00°, β = 60.00°, γ = 60.00°
Closest atoms and distances in Å follow each position.
Fractional coordinates of all 6 atoms:
K1 0.2500 0.2500 0.2500  12 Mg 3.68, 4 Tb 3.84
Tb1 0.0000 0.0000 0.0000  12 Mg 3.67, 4 K 3.84
Mg1 0.6263 0.6263 0.1212  6 Mg 3.10-3.17
Mg2 0.6263 0.1212 0.6263  6 Mg 3.10-3.17
Mg3 0.6263 0.6263 0.6263  6 Mg 3.10-3.17
Mg4 0.1212 0.6263 0.6263  6 Mg 3.10-3.17

---

[3]
Compound: K3Tb3MgTe8
Source: the Alexandria database
Functional: PBE
Structure: relaxed

Space-group type: C2/m
Raw formation energy in kJ/mol of formula units: -1629

a = 8.7281 Å, b = 8.7067 Å, c = 9.9457 Å
α = 115.79°, β = 90.00°, γ = 120.13°
Closest atoms and distances in Å follow each position.
Fractional coordinates of all 15 atoms:
K1 0.0000 0.0000 0.0000  6 Te 3.53-3.56
K2 0.0000 0.5000 0.0000  6 Te 3.53-3.56
K3 0.5000 0.5000 0.0000  6 Te 3.53-3.56
Tb1 0.5000 0.0000 0.5000  6 Te 3.08-3.10
Tb2 0.5000 0.5000 0.5000  6 Te 3.08-3.10
Tb3 0.0000 0.5000 0.5000  6 Te 3.08-3.10
Mg1 0.0000 0.0000 0.5000  6 Te 3.05-3.06
Te1 0.2629 0.5257 0.2888  3 Tb 3.10
Te2 0.7371 0.4743 0.7112  3 Tb 3.10
Te3 0.7665 0.5330 0.2946  1 Mg 3.05, 2 Tb 3.08
Te4 0.2335 0.4670 0.7054  1 Mg 3.05, 2 Tb 3.08
Te5 0.7660 0.0280 0.2944  1 Mg 3.06, 2 Tb 3.08
Te6 0.2340 0.9720 0.7056  1 Mg 3.06, 2 Tb 3.08
Te7 0.2620 0.0280 0.2943  1 Mg 3.06, 2 Tb 3.08
Te8 0.7380 0.9720 0.7057  1 Mg 3.06, 2 Tb 3.08